# 1
Entry from Alexandria: a relaxed structure of SnAsCl2 (GGA-PBEsol).

Uncorrected energy in eV per atom: -3.448
Energy relative to the elements, uncorrected in eV per atom: -0.102
D(E_F) in states/eV/f.u.: 1.712

Unit cell a=3.2370 b=3.2370 c=9.8252 alpha=80.52 beta=80.52 gamma=60.00
Last column: nearest neighbours and their distance in Å.
Atoms (fractional coordinates):
As1 0.5000 0.5000 0.5000  6 Cl 2.85
Sn1 0.0000 0.0000 0.0000  2 Cl 2.67
Cl1 0.9078 0.9078 0.2765  1 Sn 2.67, 3 As 2.85
Cl2 0.0922 0.0922 0.7235  1 Sn 2.67, 3 As 2.85

# 2
Entry from Alexandria: a relaxed structure of BaTcMo2 (GGA-PBEsol).

Uncorrected energy in eV per atom: -7.937
D(E_F) in states/eV/f.u.: 4.213
Formation enthalpy at 0 K in eV/atom: 1.300
Offset from the most stable computed form in eV per atom: 0.554

Unit cell a=2.9601 b=5.3574 c=5.4328 alpha=115.95 beta=99.90 gamma=101.76
Last column: nearest neighbours and their distance in Å.
Atoms (fractional coordinates):
Ba1 0.0000 0.5000 0.0000  2 Tc 2.78, 4 Mo 2.86, 2 Ba 2.96
Mo1 0.0000 0.0000 0.5000  4 Mo 2.78-2.96, 2 Ba 2.86, 2 Tc 2.86
Mo2 0.5000 0.5000 0.5000  4 Mo 2.78-2.96, 2 Tc 2.86, 2 Ba 2.86
Tc1 0.5000 0.0000 0.0000  2 Ba 2.78, 4 Mo 2.86, 2 Tc 2.96

# 3
Entry from Alexandria: a relaxed structure of MgPd3Au (GGA-PBEsol).

Uncorrected energy in eV per atom: -4.049
D(E_F) in states/eV/f.u.: 1.710
Formation enthalpy at 0 K in eV/atom: 0.654

Unit cell a=4.4922 b=4.4922 c=4.4922 alpha=90.00 beta=90.00 gamma=90.00
Last column: nearest neighbours and their distance in Å.
Atoms (fractional coordinates):
Mg1 0.0000 0.0000 0.0000  6 Pd 2.25
Au1 0.5000 0.5000 0.5000  12 Pd 3.18
Pd1 0.0000 0.5000 0.0000  2 Mg 2.25
Pd2 0.0000 0.0000 0.5000  2 Mg 2.25
Pd3 0.5000 0.0000 0.0000  2 Mg 2.25

# 4
Entry from Alexandria: a relaxed structure of ZrAl2Mo (GGA-PBEsol).

Uncorrected energy in eV per atom: -7.471
D(E_F) in states/eV/f.u.: 2.036
Formation enthalpy at 0 K in eV/atom: -0.211
Offset from the most stable computed form in eV per atom: 0.000

Unit cell a=2.8178 b=5.0866 c=5.0866 alpha=113.02 beta=94.26 gamma=94.26
Last column: nearest neighbours and their distance in Å.
Atoms (fractional coordinates):
Mo1 0.5000 0.0000 0.0000  2 Zr 2.81, 8 Al 2.81-3.00, 2 Mo 2.82
Al1 0.0000 0.5000 0.0000  4 Al 2.81-2.82, 4 Zr 2.81-3.00, 4 Mo 2.81-3.00
Al2 0.0000 0.0000 0.5000  4 Al 2.81-2.82, 4 Mo 2.81-3.00, 4 Zr 2.81-3.00
Zr1 0.5000 0.5000 0.5000  2 Mo 2.81, 8 Al 2.81-3.00, 2 Zr 2.82